The following is a DFT calculation (PBE) of a relaxed structure of LaTl2Sn.

extended XYZ file:
```
8
Lattice="-1.8502 3.5285 -7.7390 -7.8640 -3.7270 0.1808 -6.0882 2.5717 -2.2670" Properties=species:S:1:pos:R:3 pbc="T T T"
Tl -3.6115 2.2872 -5.1723
Tl -6.7183 -1.1502 -1.6298
Tl -8.4211 1.7538 -4.5297
Tl -12.8540 1.8556 -8.3186
Sn -4.8571 -0.0993 -3.7791
Sn -9.4047 -0.6273 -2.9326
La 0.0000 0.0000 0.0000
La -6.3978 3.0005 -6.8926
```

Output
Its space group is I-42d. The value obtained for the calculated formation energy is -0.239 eV per atom.